Model 1:
Compound: Tb2Zn2O5
Source: the Open Quantum Materials Database
Functional: PBE-GGA
Structure: optimized geometry

```
data_Tb2Zn2O5
_symmetry_space_group_name_H-M 'P 4/m m m'
_symmetry_Int_Tables_number 123
_symmetry_space_group_name_Hall '-P 4 2'
_cell_length_a 3.902
_cell_length_b 3.902
_cell_length_c 7.046
_cell_angle_alpha 90.00
_cell_angle_beta 90.00
_cell_angle_gamma 90.00
loop_
_atom_site_label
_atom_site_fract_x
_atom_site_fract_y
_atom_site_fract_z
_atom_site_occupancy
Tb1 0.000 0.000 0.000 1
Tb2 0.000 0.000 0.500 1
Zn1 0.500 0.500 0.226 1
O1 0.000 0.500 0.204 1
O2 0.500 0.500 0.500 1
```

* ρ: 8.181 Mg/m³
* magnetization: 0.000 μB per atom
* volume: 11.92 Å³/atom

---

Model 2:
Compound: Tb2Zn2O5
Source: the Open Quantum Materials Database
Functional: PBE-GGA
Structure: optimized geometry

```
data_Tb2Zn2O5
_symmetry_space_group_name_H-M 'P 4/m m m'
_symmetry_Int_Tables_number 123
_symmetry_space_group_name_Hall '-P 4 2'
_cell_length_a 3.957
_cell_length_b 3.957
_cell_length_c 8.669
_cell_angle_alpha 90.00
_cell_angle_beta 90.00
_cell_angle_gamma 90.00
loop_
_atom_site_label
_atom_site_fract_x
_atom_site_fract_y
_atom_site_fract_z
_atom_site_occupancy
Tb1 0.000 0.000 0.243 1
Zn1 0.500 0.500 0.000 1
Zn2 0.500 0.500 0.500 1
O1 0.000 0.000 0.500 1
O2 0.000 0.500 0.143 1
```

* ρ: 6.467 Mg/m³
* magnetization: 0.113 μB per atom
* volume: 15.08 Å³/atom

---

Quick one: least stable of them? model 2

---

Model 1:
Compound: TcO4
Source: the Open Quantum Materials Database
Functional: PBE-GGA
Structure: optimized geometry

```
data_TcO4
_symmetry_space_group_name_H-M 'C 1 m 1'
_symmetry_Int_Tables_number 8
_symmetry_space_group_name_Hall 'C -2y'
_cell_length_a 9.658
_cell_length_b 2.775
_cell_length_c 4.869
_cell_angle_alpha 90.00
_cell_angle_beta 116.42
_cell_angle_gamma 90.00
loop_
_atom_site_label
_atom_site_fract_x
_atom_site_fract_y
_atom_site_fract_z
_atom_site_occupancy
Tc1 0.000 0.000 0.000 1
O1 0.106 0.500 0.890 1
O2 0.116 0.000 0.389 1
O3 0.357 0.000 0.979 1
O4 0.367 0.500 0.523 1
```

* ρ: 4.604 Mg/m³
* magnetization: 0.210 μB per atom
* volume: 11.68 Å³/atom

---

Model 2:
Compound: TcO4
Source: the Open Quantum Materials Database
Functional: PBE-GGA
Structure: optimized geometry

```
data_TcO4
_symmetry_space_group_name_H-M 'P 1 2/c 1'
_symmetry_Int_Tables_number 13
_symmetry_space_group_name_Hall '-P 2yc'
_cell_length_a 4.790
_cell_length_b 5.946
_cell_length_c 5.010
_cell_angle_alpha 90.00
_cell_angle_beta 110.63
_cell_angle_gamma 90.00
loop_
_atom_site_label
_atom_site_fract_x
_atom_site_fract_y
_atom_site_fract_z
_atom_site_occupancy
Tc1 0.000 0.209 0.250 1
O1 0.207 0.091 0.033 1
O2 0.265 0.380 0.471 1
```

* ρ: 4.029 Mg/m³
* magnetization: 0.200 μB per atom
* volume: 13.35 Å³/atom

---

Quick one: least stable of them? model 1

---

Model 1:
Compound: Tc4O11
Source: the Open Quantum Materials Database
Functional: PBE-GGA
Structure: optimized geometry

```
data_Tc4O11
_symmetry_space_group_name_H-M 'P 1'
_symmetry_Int_Tables_number 1
_symmetry_space_group_name_Hall 'P 1'
_cell_length_a 4.721
_cell_length_b 5.010
_cell_length_c 8.456
_cell_angle_alpha 87.54
_cell_angle_beta 79.34
_cell_angle_gamma 76.70
loop_
_atom_site_label
_atom_site_fract_x
_atom_site_fract_y
_atom_site_fract_z
_atom_site_occupancy
Tc1 0.000 0.000 0.000 1
Tc2 0.108 0.236 0.444 1
Tc3 0.438 0.338 0.106 1
Tc4 0.810 0.764 0.623 1
O1 0.085 0.195 0.217 1
O2 0.112 0.441 0.634 1
O3 0.254 0.900 0.495 1
O4 0.255 0.695 0.068 1
O5 0.300 0.205 0.937 1
O6 0.427 0.374 0.325 1
O7 0.514 0.690 0.748 1
O8 0.674 0.946 0.139 1
O9 0.735 0.120 0.544 1
O10 0.813 0.601 0.431 1
O11 0.934 0.927 0.810 1
```

* ρ: 4.930 Mg/m³
* magnetization: 0.001 μB per atom
* volume: 12.75 Å³/atom

---

Model 2:
Compound: Tc4O11
Source: the Open Quantum Materials Database
Functional: PBE-GGA
Structure: optimized geometry

```
data_Tc4O11
_symmetry_space_group_name_H-M 'P 1'
_symmetry_Int_Tables_number 1
_symmetry_space_group_name_Hall 'P 1'
_cell_length_a 4.924
_cell_length_b 5.035
_cell_length_c 8.583
_cell_angle_alpha 85.64
_cell_angle_beta 79.78
_cell_angle_gamma 72.23
loop_
_atom_site_label
_atom_site_fract_x
_atom_site_fract_y
_atom_site_fract_z
_atom_site_occupancy
Tc1 0.000 0.000 0.000 1
Tc2 0.089 0.686 0.305 1
Tc3 0.500 0.373 0.844 1
Tc4 0.743 0.849 0.626 1
O1 0.086 0.868 0.508 1
O2 0.183 0.265 0.926 1
O3 0.241 0.930 0.172 1
O4 0.314 0.367 0.337 1
O5 0.327 0.751 0.851 1
O6 0.488 0.203 0.643 1
O7 0.648 0.299 0.036 1
O8 0.701 0.762 0.420 1
O9 0.800 0.980 0.829 1
O10 0.816 0.498 0.709 1
O11 0.924 0.688 0.120 1
```

* ρ: 4.731 Mg/m³
* magnetization: 0.002 μB per atom
* volume: 13.29 Å³/atom

---

Model 3:
Compound: Tc4O11
Source: the Open Quantum Materials Database
Functional: PBE-GGA
Structure: optimized geometry

```
data_Tc4O11
_symmetry_space_group_name_H-M 'P 1'
_symmetry_Int_Tables_number 1
_symmetry_space_group_name_Hall 'P 1'
_cell_length_a 4.840
_cell_length_b 4.848
_cell_length_c 8.553
_cell_angle_alpha 82.91
_cell_angle_beta 74.47
_cell_angle_gamma 78.57
loop_
_atom_site_label
_atom_site_fract_x
_atom_site_fract_y
_atom_site_fract_z
_atom_site_occupancy
Tc1 0.000 0.000 0.000 1
Tc2 0.092 0.507 0.899 1
Tc3 0.331 0.017 0.669 1
Tc4 0.768 0.920 0.346 1
O1 0.025 0.130 0.227 1
O2 0.102 0.360 0.682 1
O3 0.196 0.620 0.071 1
O4 0.340 0.933 0.461 1
O5 0.369 0.134 0.901 1
O6 0.448 0.664 0.747 1
O7 0.632 0.889 0.171 1
O8 0.694 0.105 0.543 1
O9 0.747 0.388 0.004 1
O10 0.909 0.885 0.810 1
O11 0.935 0.595 0.401 1
```

* ρ: 4.990 Mg/m³
* magnetization: 0.000 μB per atom
* volume: 12.60 Å³/atom

---

Model 4:
Compound: Tc4O11
Source: the Open Quantum Materials Database
Functional: PBE-GGA
Structure: optimized geometry

```
data_Tc4O11
_symmetry_space_group_name_H-M 'P 1'
_symmetry_Int_Tables_number 1
_symmetry_space_group_name_Hall 'P 1'
_cell_length_a 4.708
_cell_length_b 5.363
_cell_length_c 8.735
_cell_angle_alpha 85.36
_cell_angle_beta 77.64
_cell_angle_gamma 79.24
loop_
_atom_site_label
_atom_site_fract_x
_atom_site_fract_y
_atom_site_fract_z
_atom_site_occupancy
Tc1 0.000 0.000 0.000 1
Tc2 0.014 0.522 0.843 1
Tc3 0.340 0.616 0.514 1
Tc4 0.569 0.034 0.315 1
O1 0.146 0.654 0.013 1
O2 0.197 0.943 0.468 1
O3 0.266 0.158 0.873 1
O4 0.422 0.564 0.710 1
O5 0.427 0.369 0.370 1
O6 0.554 0.960 0.121 1
O7 0.727 0.748 0.414 1
O8 0.745 0.344 0.944 1
O9 0.838 0.864 0.841 1
O10 0.945 0.116 0.201 1
O11 0.998 0.497 0.631 1
```

* ρ: 4.461 Mg/m³
* magnetization: 0.000 μB per atom
* volume: 14.10 Å³/atom

---

Quick one: least stable of them? model 1

---

Model 1:
Compound: Tc2O5
Source: the Open Quantum Materials Database
Functional: PBE-GGA
Structure: optimized geometry

```
data_Tc2O5
_symmetry_space_group_name_H-M 'C 1 m 1'
_symmetry_Int_Tables_number 8
_symmetry_space_group_name_Hall 'C -2y'
_cell_length_a 4.981
_cell_length_b 8.890
_cell_length_c 4.781
_cell_angle_alpha 90.00
_cell_angle_beta 110.15
_cell_angle_gamma 90.00
loop_
_atom_site_label
_atom_site_fract_x
_atom_site_fract_y
_atom_site_fract_z
_atom_site_occupancy
Tc1 0.000 0.204 0.000 1
O1 0.115 0.000 0.052 1
O2 0.204 0.212 0.699 1
O3 0.228 0.355 0.213 1
```

* ρ: 4.612 Mg/m³
* magnetization: 0.000 μB per atom
* volume: 14.20 Å³/atom

---

Model 2:
Compound: Tc2O5
Source: the Open Quantum Materials Database
Functional: PBE-GGA
Structure: optimized geometry

```
data_Tc2O5
_symmetry_space_group_name_H-M 'P 1'
_symmetry_Int_Tables_number 1
_symmetry_space_group_name_Hall 'P 1'
_cell_length_a 4.469
_cell_length_b 5.054
_cell_length_c 5.060
_cell_angle_alpha 61.34
_cell_angle_beta 64.39
_cell_angle_gamma 73.07
loop_
_atom_site_label
_atom_site_fract_x
_atom_site_fract_y
_atom_site_fract_z
_atom_site_occupancy
Tc1 0.000 0.000 0.000 1
Tc2 0.233 0.370 0.424 1
O1 0.234 0.384 0.776 1
O2 0.372 0.788 0.103 1
O3 0.617 0.182 0.216 1
O4 0.862 0.581 0.319 1
O5 0.997 0.987 0.648 1
```

* ρ: 5.097 Mg/m³
* magnetization: 0.000 μB per atom
* volume: 12.85 Å³/atom

---

Quick one: least stable of them? model 1